A relaxed Li2Mg2PaN4 crystal. Source: Alexandria, functional PBE.

ρ: 5.03 g/cm3
formation energy (no corrections): -7.37 eV/f.u.

```
data_Li2Mg2PaN4
_symmetry_space_group_name_H-M 'C 1 2/m 1'
_symmetry_Int_Tables_number 12
_symmetry_space_group_name_Hall '-C 2y'
_cell_length_a 10.717
_cell_length_b 3.351
_cell_length_c 7.811
_cell_angle_alpha 90.00
_cell_angle_beta 124.57
_cell_angle_gamma 90.00
loop_
_atom_site_label
_atom_site_fract_x
_atom_site_fract_y
_atom_site_fract_z
Li1 0.146 0.000 0.392
Mg1 0.194 0.500 0.804
Pa1 0.000 0.500 0.000
N1 0.083 0.000 0.879
N2 0.221 0.500 0.288
```



A relaxed PmHfNpO6 crystal. Source: Alexandria, functional PBE.

ρ: 8.08 g/cm3
formation energy (no corrections): -29.13 eV/f.u.

```
data_PmHfNpO6
_symmetry_space_group_name_H-M 'P -3 1 c'
_symmetry_Int_Tables_number 163
_symmetry_space_group_name_Hall '-P 3 2c'
_cell_length_a 5.6272
_cell_length_b 5.6272
_cell_length_c 9.8361
_cell_angle_alpha 90.00
_cell_angle_beta 90.00
_cell_angle_gamma 120.00
loop_
_atom_site_label
_atom_site_fract_x
_atom_site_fract_y
_atom_site_fract_z
Pm1 0.0000 0.0000 0.0000
Hf1 0.3333 0.6667 0.2500
Np1 0.3333 0.6667 0.7500
O1 0.0069 0.3578 0.1385
```



A relaxed Sc2In5Br12 crystal. Source: Alexandria, functional PBE.

ρ: 3.82 g/cm3
formation energy (no corrections): -20.39 eV/f.u.

```
data_Sc2In5Br12
_symmetry_space_group_name_H-M 'C 1 2/m 1'
_symmetry_Int_Tables_number 12
_symmetry_space_group_name_Hall '-C 2y'
_cell_length_a 15.128
_cell_length_b 11.317
_cell_length_c 8.276
_cell_angle_alpha 90.00
_cell_angle_beta 95.52
_cell_angle_gamma 90.00
loop_
_atom_site_label
_atom_site_fract_x
_atom_site_fract_y
_atom_site_fract_z
Sc1 0.000 0.186 0.000
In1 0.000 0.500 0.500
In2 0.135 0.000 0.430
In3 0.207 0.500 0.025
Br1 0.055 0.000 0.820
Br2 0.063 0.330 0.792
Br3 0.159 0.185 0.168
Br4 0.179 0.500 0.433
```



A relaxed Li2Mg2SiAu4 crystal. Source: Alexandria, functional PBE.

ρ: 9.02 g/cm3
formation energy (no corrections): -2.97 eV/f.u.

```
data_Li2Mg2SiAu4
_symmetry_space_group_name_H-M 'I 4/m m m'
_symmetry_Int_Tables_number 139
_symmetry_space_group_name_Hall '-I 4 2'
_cell_length_a 6.430
_cell_length_b 6.430
_cell_length_c 7.823
_cell_angle_alpha 90.00
_cell_angle_beta 90.00
_cell_angle_gamma 90.00
loop_
_atom_site_label
_atom_site_fract_x
_atom_site_fract_y
_atom_site_fract_z
Li1 0.000 0.000 0.190
Mg1 0.000 0.500 0.250
Si1 0.000 0.000 0.500
Au1 0.235 0.235 0.000
```



A relaxed Nd3CdSi2Pt9 crystal. Source: Alexandria, functional PBE.

ρ: 12.34 g/cm3
formation energy (no corrections): -11.26 eV/f.u.

```
data_Nd3CdSi2Pt9
_symmetry_space_group_name_H-M 'P -3 m 1'
_symmetry_Int_Tables_number 164
_symmetry_space_group_name_Hall '-P 3 2"'
_cell_length_a 5.7472
_cell_length_b 5.7472
_cell_length_c 11.0871
_cell_angle_alpha 90.00
_cell_angle_beta 90.00
_cell_angle_gamma 120.00
loop_
_atom_site_label
_atom_site_fract_x
_atom_site_fract_y
_atom_site_fract_z
Nd1 0.0000 0.0000 0.0000
Nd2 0.3333 0.6667 0.6052
Cd1 0.0000 0.0000 0.5000
Si1 0.3333 0.6667 0.1574
Pt1 0.0000 0.5000 0.0000
Pt2 0.1618 0.3237 0.3016
```



A relaxed Sr2PmCl8 crystal. Source: Alexandria, functional PBE.

ρ: 3.47 g/cm3
formation energy (no corrections): -22.45 eV/f.u.

```
data_Sr2PmCl8
_symmetry_space_group_name_H-M 'C 1 2/m 1'
_symmetry_Int_Tables_number 12
_symmetry_space_group_name_Hall '-C 2y'
_cell_length_a 18.005
_cell_length_b 4.847
_cell_length_c 6.968
_cell_angle_alpha 90.00
_cell_angle_beta 108.01
_cell_angle_gamma 90.00
loop_
_atom_site_label
_atom_site_fract_x
_atom_site_fract_y
_atom_site_fract_z
Sr1 0.176 0.000 0.192
Pm1 0.000 0.500 0.500
Cl1 0.027 0.000 0.303
Cl2 0.092 0.500 0.920
Cl3 0.157 0.500 0.473
Cl4 0.226 0.000 0.826
```



Q: Which DOS(E_F) values were calculated for the entries above? A: 4.23; 7.78; 5.97; 3.14; 5.60; 7.44, in states/eV/f.u..